Entry 1:
HfU3Se6: relaxed, GGA-PBE.

Lattice parameters (Å, degrees): 6.7363 7.5702 11.6228 90.00 121.55 90.00
Sites, in units of the cell vectors:
1 Hf 0.0000 0.0000 0.0000
2 Hf 0.0000 0.5000 0.5000
3 U 0.1749 0.1307 0.7315
4 U 0.1749 0.3693 0.2315
5 U 0.5000 0.0000 0.5000
6 U 0.5000 0.5000 0.0000
7 U 0.8251 0.6307 0.7685
8 U 0.8251 0.8693 0.2685
9 Se 0.0852 0.1821 0.4341
10 Se 0.0852 0.3179 0.9341
11 Se 0.2628 0.6662 0.4218
12 Se 0.2628 0.8338 0.9218
13 Se 0.4058 0.0427 0.2350
14 Se 0.4058 0.4573 0.7350
15 Se 0.5942 0.5427 0.2650
16 Se 0.5942 0.9573 0.7650
17 Se 0.7372 0.1662 0.0782
18 Se 0.7372 0.3338 0.5782
19 Se 0.9148 0.6821 0.0659
20 Se 0.9148 0.8179 0.5659

- calculated density (g cm⁻³) = 8.98
- energy relative to the elements, uncorrected (eV/atom) = -1.073
- DOS at the Fermi energy (states/eV/f.u.) = 19.92
- calculated total energy (eV/atom) = -7.546

Entry 2:
PrHo2MoN4: relaxed, GGA-PBE.

Lattice parameters (Å, degrees): 6.1675 6.1675 11.8412 90.00 90.00 147.61
Sites, in units of the cell vectors:
1 Pr 0.0930 0.9070 0.7500
2 Pr 0.9070 0.0930 0.2500
3 Ho 0.3704 0.6296 0.5395
4 Ho 0.3704 0.6296 0.9605
5 Ho 0.6296 0.3704 0.0395
6 Ho 0.6296 0.3704 0.4605
7 Mo 0.1656 0.8344 0.2500
8 Mo 0.8344 0.1656 0.7500
9 N 0.0000 0.0000 0.0000
10 N 0.0000 0.0000 0.5000
11 N 0.2625 0.7375 0.1202
12 N 0.2625 0.7375 0.3798
13 N 0.4347 0.5653 0.7500
14 N 0.5653 0.4347 0.2500
15 N 0.7375 0.2625 0.6202
16 N 0.7375 0.2625 0.8798

- calculated density (g cm⁻³) = 8.57
- energy relative to the elements, uncorrected (eV/atom) = -1.151
- DOS at the Fermi energy (states/eV/f.u.) = 2.24
- calculated total energy (eV/atom) = -8.409

Entry 3:
LaSmHoHg: relaxed, GGA-PBE.

Lattice parameters (Å, degrees): 3.7102 3.7102 8.8713 90.00 90.00 90.00
Sites, in units of the cell vectors:
1 La 0.0000 0.0000 0.0000
2 Sm 0.5000 0.5000 0.7104
3 Ho 0.5000 0.5000 0.2819
4 Hg 0.0000 0.0000 0.4831

- calculated density (g cm⁻³) = 8.90
- DOS at the Fermi energy (states/eV/f.u.) = 5.93
- calculated total energy (eV/atom) = -3.859
- formation energy (eV per atom) = -0.228
- offset from the most stable computed form (meV/atom) = 0

Entry 4:
NdAl10Os2: relaxed, GGA-PBE.

Lattice parameters (Å, degrees): 6.8839 6.8839 9.2097 90.00 90.00 96.58
Sites, in units of the cell vectors:
1 Nd 0.1264 0.8736 0.7500
2 Nd 0.8736 0.1264 0.2500
3 Al 0.1434 0.4118 0.7500
4 Al 0.1598 0.8402 0.1018
5 Al 0.1598 0.8402 0.3982
6 Al 0.2189 0.4820 0.2500
7 Al 0.2251 0.2251 0.0000
8 Al 0.2251 0.2251 0.5000
9 Al 0.3777 0.6223 0.5489
10 Al 0.3777 0.6223 0.9511
11 Al 0.4118 0.1434 0.2500
12 Al 0.4820 0.2189 0.7500
13 Al 0.5180 0.7811 0.2500
14 Al 0.5882 0.8566 0.7500
15 Al 0.6223 0.3777 0.0489
16 Al 0.6223 0.3777 0.4511
17 Al 0.7749 0.7749 0.0000
18 Al 0.7749 0.7749 0.5000
19 Al 0.7811 0.5180 0.7500
20 Al 0.8402 0.1598 0.6018
21 Al 0.8402 0.1598 0.8982
22 Al 0.8566 0.5882 0.2500
23 Os 0.0000 0.5000 0.0000
24 Os 0.0000 0.5000 0.5000
25 Os 0.5000 0.0000 0.0000
26 Os 0.5000 0.0000 0.5000

- calculated density (g cm⁻³) = 6.09
- DOS at the Fermi energy (states/eV/f.u.) = 3.35
- calculated total energy (eV/atom) = -5.437
- formation energy (eV per atom) = -0.464

Entry 5:
Sm2SnPt: relaxed, GGA-PBE.

Lattice parameters (Å, degrees): 8.4824 8.4824 8.4824 27.43 27.43 27.43
Sites, in units of the cell vectors:
1 Sm 0.2368 0.2368 0.2368
2 Sm 0.7632 0.7632 0.7632
3 Sn 0.0000 0.0000 0.0000
4 Pt 0.5000 0.5000 0.5000

- calculated density (g cm⁻³) = 8.93
- DOS at the Fermi energy (states/eV/f.u.) = 3.23
- calculated total energy (eV/atom) = -5.644
- formation energy (eV per atom) = -0.773

Entry 6:
Y3Al2Zn7: relaxed, GGA-PBE.

Lattice parameters (Å, degrees): 14.1870 14.1870 14.1870 163.08 163.08 24.02
Sites, in units of the cell vectors:
1 Y 0.0000 0.0000 0.0000
2 Y 0.1653 0.1653 0.0000
3 Y 0.8347 0.8347 0.0000
4 Al 0.3664 0.3664 0.0000
5 Al 0.6336 0.6336 0.0000
6 Zn 0.0779 0.5779 0.5000
7 Zn 0.2747 0.2747 0.0000
8 Zn 0.4221 0.9221 0.5000
9 Zn 0.5000 0.5000 0.0000
10 Zn 0.5779 0.0779 0.5000
11 Zn 0.7253 0.7253 0.0000
12 Zn 0.9221 0.4221 0.5000

- calculated density (g cm⁻³) = 5.35
- DOS at the Fermi energy (states/eV/f.u.) = 8.30
- calculated total energy (eV/atom) = -3.185
- formation energy (eV per atom) = -0.202

Entry 7:
ZrTlMo: relaxed, GGA-PBE.

Lattice parameters (Å, degrees): 4.6759 4.6759 4.6759 60.00 60.00 60.00
Sites, in units of the cell vectors:
1 Zr 0.0000 0.0000 0.0000
2 Tl 0.5000 0.5000 0.5000
3 Mo 0.2500 0.2500 0.2500

- calculated density (g cm⁻³) = 8.99
- DOS at the Fermi energy (states/eV/f.u.) = 4.55
- calculated total energy (eV/atom) = -6.407
- formation energy (eV per atom) = 0.841
- offset from the most stable computed form (meV/atom) = 632

Entry 8:
YHIr2Pd: relaxed, GGA-PBE.

Lattice parameters (Å, degrees): 4.0931 4.0931 4.1881 90.00 90.00 90.00
Sites, in units of the cell vectors:
1 Y 0.0000 0.0000 0.0000
2 H 0.5000 0.5000 0.5000
3 Ir 0.0000 0.5000 0.5000
4 Ir 0.5000 0.0000 0.5000
5 Pd 0.5000 0.5000 0.0000

- calculated density (g cm⁻³) = 13.74
- DOS at the Fermi energy (states/eV/f.u.) = 3.37
- calculated total energy (eV/atom) = -6.934

Entry 9:
Tl2HgPdCl: relaxed, GGA-PBE.

Lattice parameters (Å, degrees): 5.3964 5.3964 5.2961 90.00 90.00 90.00
Sites, in units of the cell vectors:
1 Tl 0.0000 0.5000 0.0000
2 Tl 0.5000 0.0000 0.0000
3 Hg 0.0000 0.0000 0.5000
4 Pd 0.0000 0.0000 0.0000
5 Cl 0.5000 0.5000 0.5000

- calculated density (g cm⁻³) = 8.09
- energy relative to the elements, uncorrected (eV/atom) = -0.371
- DOS at the Fermi energy (states/eV/f.u.) = 1.53
- calculated total energy (eV/atom) = -2.786

Entry 10:
Cs2TiZnTc: relaxed, GGA-PBE.

Lattice parameters (Å, degrees): 6.1424 6.1424 5.2212 90.00 90.00 90.00
Sites, in units of the cell vectors:
1 Cs 0.0000 0.5000 0.0000
2 Cs 0.5000 0.0000 0.0000
3 Ti 0.0000 0.0000 0.5000
4 Zn 0.0000 0.0000 0.0000
5 Tc 0.5000 0.5000 0.5000

- calculated density (g cm⁻³) = 4.02
- DOS at the Fermi energy (states/eV/f.u.) = 7.45
- calculated total energy (eV/atom) = -2.459
- formation energy (eV per atom) = 1.789

Entry 11:
NbCdH: relaxed, GGA-PBE.

Lattice parameters (Å, degrees): 4.9451 3.1632 11.5896 90.00 90.00 90.00
Sites, in units of the cell vectors:
1 Nb 0.2271 0.2500 0.0350
2 Nb 0.2729 0.7500 0.5350
3 Nb 0.7271 0.2500 0.4650
4 Nb 0.7729 0.7500 0.9650
5 Cd 0.2392 0.7500 0.8058
6 Cd 0.2608 0.2500 0.3058
7 Cd 0.7392 0.7500 0.6942
8 Cd 0.7608 0.2500 0.1942
9 H 0.0421 0.2500 0.5643
10 H 0.4579 0.7500 0.0643
11 H 0.5421 0.2500 0.9357
12 H 0.9579 0.7500 0.4357

- calculated density (g cm⁻³) = 7.56
- DOS at the Fermi energy (states/eV/f.u.) = 1.23
- calculated total energy (eV/atom) = -4.666
- offset from the most stable computed form (meV/atom) = 122

Entry 12:
Tm2Zn2Co15: relaxed, GGA-PBE.

Lattice parameters (Å, degrees): 6.2753 6.2753 6.2753 83.30 83.30 83.30
Sites, in units of the cell vectors:
1 Tm 0.1515 0.1515 0.1515
2 Tm 0.8485 0.8485 0.8485
3 Zn 0.3965 0.3965 0.3965
4 Zn 0.6035 0.6035 0.6035
5 Co 0.0000 0.5000 0.5000
6 Co 0.1477 0.1477 0.6538
7 Co 0.1477 0.6538 0.1477
8 Co 0.2092 0.5000 0.7908
9 Co 0.2092 0.7908 0.5000
10 Co 0.3462 0.8523 0.8523
11 Co 0.5000 0.0000 0.5000
12 Co 0.5000 0.2092 0.7908
13 Co 0.5000 0.5000 0.0000
14 Co 0.5000 0.7908 0.2092
15 Co 0.6538 0.1477 0.1477
16 Co 0.7908 0.2092 0.5000
17 Co 0.7908 0.5000 0.2092
18 Co 0.8523 0.3462 0.8523
19 Co 0.8523 0.8523 0.3462

- calculated density (g cm⁻³) = 9.27
- DOS at the Fermi energy (states/eV/f.u.) = 21.83
- calculated total energy (eV/atom) = -6.322
- formation energy (eV per atom) = -0.108

Entry 13:
InBi2Te2: relaxed, GGA-PBE.

Lattice parameters (Å, degrees): 9.0337 9.0337 4.0498 90.00 90.00 90.00
Sites, in units of the cell vectors:
1 In 0.0000 0.0000 0.0000
2 In 0.5000 0.5000 0.0000
3 Bi 0.1658 0.3342 0.5000
4 Bi 0.3342 0.8342 0.5000
5 Bi 0.6658 0.1658 0.5000
6 Bi 0.8342 0.6658 0.5000
7 Te 0.1558 0.6558 0.0000
8 Te 0.3442 0.1558 0.0000
9 Te 0.6558 0.8442 0.0000
10 Te 0.8442 0.3442 0.0000

- calculated density (g cm⁻³) = 7.92
- energy relative to the elements, uncorrected (eV/atom) = 0.037
- DOS at the Fermi energy (states/eV/f.u.) = 3.32
- calculated total energy (eV/atom) = -3.320
- offset from the most stable computed form (meV/atom) = 55

Entry 14:
Dy4Er2Tm: relaxed, GGA-PBE.

Lattice parameters (Å, degrees): 6.1074 6.4661 11.3820 90.00 105.07 90.00
Sites, in units of the cell vectors:
1 Dy 0.0325 0.2500 0.3625
2 Dy 0.1468 0.2500 0.9462
3 Dy 0.3461 0.5050 0.2129
4 Dy 0.3461 0.9950 0.2129
5 Dy 0.6539 0.0050 0.7871
6 Dy 0.6539 0.4950 0.7871
7 Dy 0.8532 0.7500 0.0538
8 Dy 0.9675 0.7500 0.6375
9 Er 0.2898 0.7500 0.9248
10 Er 0.3917 0.7500 0.5036
11 Er 0.6083 0.2500 0.4964
12 Er 0.7102 0.2500 0.0752
13 Tm 0.1582 0.2500 0.6624
14 Tm 0.8418 0.7500 0.3376

- calculated density (g cm⁻³) = 8.83
- DOS at the Fermi energy (states/eV/f.u.) = 11.62
- calculated total energy (eV/atom) = -4.432
- formation energy (eV per atom) = 0.140

Entry 15:
Na3HgPb: relaxed, GGA-PBE.

Lattice parameters (Å, degrees): 7.5146 7.5146 7.2606 116.87 116.87 79.20
Sites, in units of the cell vectors:
1 Na 0.0781 0.0781 0.3355
2 Na 0.1021 0.5074 0.2861
3 Na 0.4926 0.8979 0.7139
4 Na 0.5074 0.1021 0.2861
5 Na 0.8979 0.4926 0.7139
6 Na 0.9219 0.9219 0.6645
7 Hg 0.2330 0.2330 0.8912
8 Hg 0.7670 0.7670 0.1088
9 Pb 0.4410 0.4410 0.7382
10 Pb 0.5590 0.5590 0.2618

- calculated density (g cm⁻³) = 4.85
- DOS at the Fermi energy (states/eV/f.u.) = 2.30
- calculated total energy (eV/atom) = -1.674
- formation energy (eV per atom) = -0.080
- offset from the most stable computed form (meV/atom) = 86

Entry 16:
B3TeAu: relaxed, GGA-PBE.

Lattice parameters (Å, degrees): 4.3252 4.3252 4.3252 90.00 90.00 90.00
Sites, in units of the cell vectors:
1 B 0.0000 0.0000 0.5000
2 B 0.0000 0.5000 0.0000
3 B 0.5000 0.0000 0.0000
4 Te 0.5000 0.5000 0.5000
5 Au 0.0000 0.0000 0.0000

- calculated density (g cm⁻³) = 7.33
- energy relative to the elements, uncorrected (eV/atom) = 1.594
- DOS at the Fermi energy (states/eV/f.u.) = 0.80
- calculated total energy (eV/atom) = -3.696
- offset from the most stable computed form (meV/atom) = 0

Entry 17:
Ca8TlSn2: relaxed, GGA-PBE.

Lattice parameters (Å, degrees): 9.8412 9.8412 7.6403 108.88 108.88 31.78
Sites, in units of the cell vectors:
1 Ca 0.0256 0.0256 0.2794
2 Ca 0.1970 0.1970 0.7857
3 Ca 0.3372 0.3372 0.5552
4 Ca 0.4019 0.4019 0.0533
5 Ca 0.5981 0.5981 0.9467
6 Ca 0.6628 0.6628 0.4448
7 Ca 0.8030 0.8030 0.2143
8 Ca 0.9744 0.9744 0.7206
9 Tl 0.5000 0.5000 0.5000
10 Sn 0.1862 0.1862 0.1966
11 Sn 0.8138 0.8138 0.8034

- calculated density (g cm⁻³) = 3.45
- DOS at the Fermi energy (states/eV/f.u.) = 7.31
- calculated total energy (eV/atom) = -2.809
- formation energy (eV per atom) = -0.410
- offset from the most stable computed form (meV/atom) = 0

Entry 18:
Pm4CdRu2: relaxed, GGA-PBE.

Lattice parameters (Å, degrees): 7.1075 7.1659 8.0301 88.85 64.78 88.07
Sites, in units of the cell vectors:
1 Pm 0.0000 0.0000 0.0000
2 Pm 0.0042 0.5345 0.8913
3 Pm 0.2614 0.9125 0.4368
4 Pm 0.2757 0.4403 0.3905
5 Pm 0.4952 0.4654 0.9261
6 Pm 0.5141 0.9383 0.9586
7 Pm 0.7474 0.8872 0.4557
8 Pm 0.7851 0.4212 0.3719
9 Cd 0.3879 0.2047 0.6693
10 Cd 0.8852 0.1931 0.6918
11 Ru 0.1373 0.6964 0.1695
12 Ru 0.4021 0.6724 0.6530
13 Ru 0.6190 0.1874 0.1898
14 Ru 0.6323 0.7007 0.1843

- calculated density (g cm⁻³) = 8.03
- DOS at the Fermi energy (states/eV/f.u.) = 5.29
- calculated total energy (eV/atom) = -5.673
- formation energy (eV per atom) = -0.177